Record 1
Material: YSbW
Method: DFT, GGA-PBEsol
State: relaxed

POSCAR file:
```
YSbW
1.0
-2.555 0.992 2.028
2.544 -1.886 1.262
3.377 5.577 1.527
Y Sb W
1 1 1
direct
0.667 0.333 0.348
0.000 0.000 0.968
0.333 0.667 0.685
```

Summary:
space-group type	P3m1 (156)
distance to the lowest polymorph of the same formula	229	meV per atom
ΔE_f (raw)	0.275	eV/atom

Record 2
Material: ZnSb2W
Method: DFT, GGA-PBEsol
State: relaxed

POSCAR file:
```
ZnSb2W
1.0
3.830 0.000 0.000
0.000 4.929 0.000
-1.915 -2.465 4.010
W Zn Sb
1 1 2
direct
0.500 0.000 0.000
0.000 0.500 0.000
0.731 0.731 0.461
0.269 0.269 0.539
```

Summary:
space-group type	Immm (71)
ΔE_f (raw)	0.565	eV/atom

Record 3
Material: ZrSbW2
Method: DFT, GGA-PBEsol
State: relaxed

POSCAR file:
```
ZrSbW2
1.0
-1.170 -2.559 1.492
2.435 0.083 2.051
-3.959 4.447 4.522
W Zr Sb
2 1 1
direct
0.500 0.500 0.219
0.000 0.000 0.027
0.000 0.000 0.468
0.500 0.500 0.786
```

Summary:
space-group type	P4mm (99)
ΔE_f (raw)	0.143	eV/atom